Density functional theory data (PBE) for a relaxed structure of SrMn5.

Output
The formation energy comes out at 642 meV per atom.

abc: 5.1220 5.1220 5.1220
angles: 60.00 60.00 60.00
Last column: nearest neighbours and their distance in Å.
Element x y z (fractional)
Sr (0.0000, 0.0000, 0.0000)  16 Mn 3.01-3.14
Mn (0.2500, 0.2500, 0.2500)  12 Mn 3.00, 4 Sr 3.14
Mn (0.6238, 0.6238, 0.6238)  6 Mn 2.54-2.59
Mn (0.6238, 0.6238, 0.1287)  6 Mn 2.54-2.59
Mn (0.1287, 0.6238, 0.6238)  6 Mn 2.54-2.59
Mn (0.6238, 0.1287, 0.6238)  6 Mn 2.54-2.59